The following is a DFT calculation (PBE) of Mg2ZnInIr after structural relaxation.

Cell lengths 7.1450, 7.1450, 7.1450 Å; angles 154.81, 141.55, 46.52 degrees
Atoms (fractional coordinates):
1 Mg 0.0000 0.0000 0.0000
2 Mg 0.3418 0.3418 0.0000
3 Zn 0.7813 0.7813 0.0000
4 In 0.5732 0.5732 0.0000
5 Ir 0.1770 0.6770 0.5000

Computed properties:
As for the electronic total energy: -3.316 eV per atom.